A relaxed structure of ScGeO, computed with PBE-GGA.

raw formation energy	-6.25	eV per formula unit
electronic total energy	-7.3851	eV per atom

```
data_ScGeO
_chemical_formula_sum 'Sc2 Ge2 O2'
_space_group_name_H-M_alt 'P 4/n m m'
_space_group_IT_number 129
_cell_length_a 3.763
_cell_length_b 3.763
_cell_length_c 6.809
_cell_angle_alpha 90.00
_cell_angle_beta 90.00
_cell_angle_gamma 90.00
loop_
_space_group_symop_operation_xyz
'x,y,z'
'-x,-y,-z'
'-y+1/2,x,z'
'y+1/2,-x,-z'
'-x+1/2,-y+1/2,z'
'x+1/2,y+1/2,-z'
'y,-x+1/2,z'
'-y,x+1/2,-z'
'x+1/2,-y,-z'
'-x+1/2,y,z'
'-y,-x,-z'
'y,x,z'
'-x,y+1/2,-z'
'x,-y+1/2,z'
'y+1/2,x+1/2,-z'
'-y+1/2,-x+1/2,z'
loop_
_atom_site_label
_atom_site_type_symbol
_atom_site_fract_x
_atom_site_fract_y
_atom_site_fract_z
_atom_site_occupancy
Sc1 Sc 0.250 0.250 0.140 1
Ge1 Ge 0.250 0.750 0.500 1
O1 O 0.250 0.750 0.000 1
```